Record 1
## CaHoFe2O6 (PBE with a Hubbard U)

Data for a relaxed structure of CaHoFe2O6.

abc: 5.335 5.572 7.639
angles: 90.00 90.00 90.00
Last column: magnetic moment on the atom in μB.
Sites, in units of the cell vectors:
Ca: 0.488 0.196 0.000  0.00
Ca: 0.988 0.804 0.500  0.00
Ho: 0.019 0.682 0.000  0.04
Ho: 0.519 0.318 0.500  0.04
Fe: 0.001 0.245 0.750  4.15
Fe: 0.001 0.245 0.250  4.15
Fe: 0.501 0.755 0.250  4.15
Fe: 0.501 0.755 0.750  4.15
O: 0.109 0.222 0.500  0.10
O: 0.194 0.943 0.803  0.10
O: 0.194 0.943 0.197  0.10
O: 0.291 0.459 0.798  0.08
O: 0.291 0.459 0.202  0.08
O: 0.414 0.718 0.500  0.09
O: 0.609 0.778 0.000  0.10
O: 0.694 0.057 0.303  0.10
O: 0.694 0.057 0.697  0.10
O: 0.791 0.541 0.702  0.08
O: 0.791 0.541 0.298  0.08
O: 0.914 0.282 0.000  0.09


Record 2
## CaHo2FeO5 (PBE with a Hubbard U)

Data for a relaxed structure of CaHo2FeO5.

abc: 5.567 6.420 6.420
angles: 90.00 90.00 90.00
Last column: magnetic moment on the atom in μB.
Sites, in units of the cell vectors:
Ca: 0.000 0.500 0.500  0.00
Ca: 0.000 0.000 0.000  0.00
Ho: 0.500 0.673 0.173  -0.01
Ho: 0.500 0.173 0.327  -0.01
Ho: 0.500 0.827 0.673  -0.01
Ho: 0.500 0.327 0.827  -0.01
Fe: 0.000 0.000 0.500  2.00
Fe: 0.000 0.500 0.000  2.00
O: 0.500 0.500 0.500  0.01
O: 0.500 0.000 0.000  0.01
O: 0.242 0.145 0.645  -0.01
O: 0.242 0.855 0.355  -0.01
O: 0.242 0.355 0.145  -0.01
O: 0.242 0.645 0.855  -0.01
O: 0.758 0.145 0.645  -0.01
O: 0.758 0.645 0.855  -0.01
O: 0.758 0.855 0.355  -0.01
O: 0.758 0.355 0.145  -0.01


Record 3
## CaHoFeO4 (PBE with a Hubbard U)

Data for a relaxed structure of CaHoFeO4.

abc: 6.386 6.506 6.506
angles: 61.17 60.61 60.61
Last column: magnetic moment on the atom in μB.
Sites, in units of the cell vectors:
Ca: 0.500 0.000 0.500  0.02
Ca: 0.000 0.000 0.500  0.02
Ho: 0.000 0.000 0.000  0.08
Ho: 0.000 0.500 0.500  0.08
Fe: 0.632 0.618 0.118  4.29
Fe: 0.368 0.382 0.882  4.29
O: 0.753 0.737 0.756  0.13
O: 0.247 0.744 0.763  0.13
O: 0.753 0.256 0.237  0.13
O: 0.247 0.263 0.244  0.13
O: 0.251 0.745 0.245  0.10
O: 0.759 0.745 0.245  0.10
O: 0.241 0.255 0.755  0.10
O: 0.749 0.255 0.755  0.10


Record-wise E values, in eV per cell: -140.175, -131.709, -99.967